Below is Er4GeSbC after structural relaxation, with properties calculated at the PBE level.

Properties
Fermi-level density of states   0.494 states/eV per atom
Space-group type   I4mm (107)
Formation energy (no corrections)   -16.681 kcal/mol of atoms
Calculated volume   168.7 Å³/cell

a b c (Å): 8.3323 8.3323 8.3323
angles (deg): 147.25 147.25 47.00
Last column: nearest neighbours and their distance in Å.
Atoms (fractional coordinates):
Er (0.0000, 0.0000, 0.0000)  1 C 2.50
Er (0.1551, 0.6551, 0.5000)  2 C 2.35
Er (0.3231, 0.3231, 0.0000)  1 C 2.44
Er (0.6551, 0.1551, 0.5000)  2 C 2.35
Ge (0.5219, 0.5219, 0.0000)  9 Er 3.04-3.34
Sb (0.8014, 0.8014, 0.0000)  9 Er 3.04-3.34
C (0.1637, 0.1637, 0.0000)  6 Er 2.35-2.50